No. 1
SiSbBr2, optimized geometry, DFT PBE; energy above the lowest structure with this stoichiometry = 734 meV/atom; calculated volume = 97.9 Å³/f.u.; DOS at the Fermi energy = 3.3 states/eV per cell; space-group type = No. 47; E_form (uncorrected) = 2.0 eV per formula unit; total magnetic moment = 0.00 μB/f.u.
1.0
3.3605 0.0000 0.0000
0.0000 4.3386 0.0000
0.0000 0.0000 6.7176
Si Br Sb
1 2 1
Direct
0.5000 0.5000 0.7500
0.0000 0.0000 0.5095
0.0000 0.0000 0.9905
0.5000 0.5000 0.2500

=====

No. 2
SiSb3Br, optimized geometry, DFT PBE; energy above the lowest structure with this stoichiometry = 719 meV/atom; calculated volume = 163.4 Å³/f.u.; DOS at the Fermi energy = 3.8 states/eV per cell; space-group type = No. 221; E_form (uncorrected) = 6.3 eV per formula unit; total magnetic moment = 0.00 μB/f.u.
1.0
5.4666 0.0000 0.0000
0.0000 5.4666 0.0000
0.0000 0.0000 5.4666
Sb Si Br
3 1 1
Direct
0.0000 0.5000 0.0000
0.5000 0.0000 0.0000
0.0000 0.0000 0.5000
0.5000 0.5000 0.5000
0.0000 0.0000 0.0000

=====

No. 3
SiSb4Br, optimized geometry, DFT PBE; calculated volume = 170.9 Å³/f.u.; DOS at the Fermi energy = 4.1 states/eV per cell; space-group type = No. 216; E_form (uncorrected) = 3.1 eV per formula unit; total magnetic moment = 0.00 μB/f.u.
1.0
6.0747 -1.2097 0.6606
2.1680 -2.1958 5.4111
1.9764 -5.8935 0.4019
Sb Br Si
4 1 1
Direct
0.8852 0.3716 0.3716
0.3716 0.8852 0.3716
0.3716 0.3716 0.8852
0.3716 0.3716 0.3716
0.0000 0.0000 0.0000
0.7500 0.7500 0.7500

=====

No. 4
Si2SbBr, optimized geometry, DFT PBE; energy above the lowest structure with this stoichiometry = 551 meV/atom; calculated volume = 84.7 Å³/f.u.; DOS at the Fermi energy = 1.5 states/eV per cell; space-group type = No. 216; E_form (uncorrected) = 2.4 eV per formula unit; total magnetic moment = 0.00 μB/f.u.
1.0
4.9289 0.0000 0.0000
2.4645 4.2686 0.0000
2.4645 1.4229 4.0245
Si Br Sb
2 1 1
Direct
0.2500 0.2500 0.2500
0.0000 0.0000 0.0000
0.5000 0.5000 0.5000
0.7500 0.7500 0.7500

=====

No. 5
SiSb3Br, optimized geometry, DFT PBE; energy above the lowest structure with this stoichiometry = 0 meV/atom; calculated volume = 146.8 Å³/f.u.; DOS at the Fermi energy = 2.6 states/eV per cell; space-group type = No. 221; E_form (uncorrected) = 2.7 eV per formula unit; total magnetic moment = 0.00 μB/f.u.
1.0
5.2754 0.0000 0.0000
0.0000 5.2754 0.0000
0.0000 0.0000 5.2754
Br Sb Si
1 3 1
Direct
0.5000 0.5000 0.5000
0.0000 0.0000 0.5000
0.5000 0.0000 0.0000
0.0000 0.5000 0.0000
0.0000 0.0000 0.0000

=====

No. 6
SiSbBr2, optimized geometry, DFT PBE; energy above the lowest structure with this stoichiometry = 420 meV/atom; calculated volume = 138.0 Å³/f.u.; DOS at the Fermi energy = 2.0 states/eV per cell; space-group type = No. 166; E_form (uncorrected) = 0.8 eV per formula unit; total magnetic moment = 0.24 μB/f.u.
1.0
-3.8518 6.3225 -9.6902
-1.4292 4.1811 -11.3660
-4.8231 2.9906 -10.7937
Sb Si Br
1 1 2
Direct
0.2500 0.2500 0.2500
0.7500 0.7500 0.7500
0.0352 0.0352 0.0352
0.4648 0.4648 0.4648

=====

No. 7
Si2SbBr, optimized geometry, DFT PBE; energy above the lowest structure with this stoichiometry = 494 meV/atom; calculated volume = 91.9 Å³/f.u.; DOS at the Fermi energy = 2.5 states/eV per cell; space-group type = No. 123; E_form (uncorrected) = 2.2 eV per formula unit; total magnetic moment = 0.00 μB/f.u.
1.0
-2.1844 -2.0842 1.9024
2.8060 -1.3494 1.7436
-0.6044 5.1816 4.9827
Sb Si Br
1 2 1
Direct
0.5000 0.5000 0.7500
0.0000 0.0000 0.9568
0.0000 0.0000 0.5432
0.5000 0.5000 0.2500

=====

No. 8
SiSbBr3, optimized geometry, DFT PBE; energy above the lowest structure with this stoichiometry = 209 meV/atom; calculated volume = 180.0 Å³/f.u.; DOS at the Fermi energy = 6.2 states/eV per cell; space-group type = No. 221; E_form (uncorrected) = 1.9 eV per formula unit; total magnetic moment = 1.62 μB/f.u.
1.0
5.6459 0.0000 0.0000
0.0000 5.6459 0.0000
0.0000 0.0000 5.6459
Sb Br Si
1 3 1
Direct
0.0000 0.0000 0.0000
0.5000 0.0000 0.0000
0.0000 0.5000 0.0000
0.0000 0.0000 0.5000
0.5000 0.5000 0.5000

=====

Number 7 is which compound?
Si2SbBr

=====

What is the E_form (uncorrected) in the second record?
6.3 eV per formula unit

=====

Which formula does entry 7 have?
Si2SbBr

=====

Copy entry 4 word for word.
Si2SbBr, optimized geometry, DFT PBE; energy above the lowest structure with this stoichiometry = 551 meV/atom; calculated volume = 84.7 Å³/f.u.; DOS at the Fermi energy = 1.5 states/eV per cell; space-group type = No. 216; E_form (uncorrected) = 2.4 eV per formula unit; total magnetic moment = 0.00 μB/f.u.
1.0
4.9289 0.0000 0.0000
2.4645 4.2686 0.0000
2.4645 1.4229 4.0245
Si Br Sb
2 1 1
Direct
0.2500 0.2500 0.2500
0.0000 0.0000 0.0000
0.5000 0.5000 0.5000
0.7500 0.7500 0.7500